No. 1
Below is a relaxed PaPdRhN crystal, with properties calculated at the PBE level.

Unit cell a=3.928 b=3.928 c=8.185 alpha=90.00 beta=90.00 gamma=90.00
Fractional positions:
N1 0.000 0.000 0.000
N2 0.500 0.500 0.000
Rh1 0.000 0.500 0.274
Rh2 0.500 0.000 0.726
Pd1 0.000 0.000 0.500
Pd2 0.500 0.500 0.500
Pa1 0.000 0.500 0.848
Pa2 0.500 0.000 0.152

Mass density ... 11.95 Mg/m³
Electronic total energy ... -8.332 eV per atom
ΔE_f (raw) ... -0.740 eV per atom


No. 2
Below is a relaxed Pa2PdS2N2 crystal, with properties calculated at the PBE level.

Unit cell a=3.895 b=3.895 c=10.637 alpha=90.00 beta=90.00 gamma=120.00
Fractional positions:
Pd1 0.000 0.000 0.000
Pa1 0.667 0.333 0.362
Pa2 0.333 0.667 0.638
N1 0.667 0.333 0.577
N2 0.333 0.667 0.423
S1 0.000 0.000 0.786
S2 0.000 0.000 0.214

Mass density ... 7.85 Mg/m³
Electronic total energy ... -8.448 eV per atom
ΔE_f (raw) ... -1.435 eV per atom


No. 3
Below is a relaxed PaPdS2N crystal, with properties calculated at the PBE level.

Unit cell a=3.726 b=3.726 c=12.521 alpha=90.00 beta=90.00 gamma=90.00
Fractional positions:
Pd1 0.000 0.500 0.897
Pd2 0.500 0.000 0.103
S1 0.000 0.500 0.088
S2 0.500 0.000 0.912
S3 0.000 0.500 0.707
S4 0.500 0.000 0.293
Pa1 0.000 0.500 0.397
Pa2 0.500 0.000 0.603
N1 0.000 0.000 0.500
N2 0.500 0.500 0.500

Mass density ... 7.94 Mg/m³
Electronic total energy ... -7.383 eV per atom
ΔE_f (raw) ... -1.129 eV per atom


No. 4
Below is a relaxed PaPdSN crystal, with properties calculated at the PBE level.

Unit cell a=3.904 b=3.904 c=10.228 alpha=79.00 beta=79.00 gamma=60.00
Fractional positions:
N1 0.693 0.693 0.920
N2 0.307 0.307 0.080
S1 0.104 0.104 0.687
S2 0.896 0.896 0.313
Pa1 0.382 0.382 0.853
Pa2 0.618 0.618 0.147
Pd1 0.804 0.804 0.589
Pd2 0.196 0.196 0.411

Mass density ... 9.67 Mg/m³
Electronic total energy ... -8.089 eV per atom
ΔE_f (raw) ... -1.304 eV per atom


No. 5
Below is a relaxed ScPa2PdN5 crystal, with properties calculated at the PBE level.

Unit cell a=3.416 b=6.665 c=10.390 alpha=90.00 beta=90.00 gamma=104.85
Fractional positions:
N1 0.726 0.452 0.170
N2 0.056 0.113 0.092
N3 0.318 0.636 0.368
N4 0.682 0.364 0.868
N5 0.484 0.968 0.765
N6 0.274 0.548 0.670
N7 0.944 0.887 0.592
N8 0.516 0.032 0.265
N9 0.368 0.737 0.999
N10 0.632 0.263 0.499
Pa1 0.900 0.799 0.176
Pa2 0.853 0.705 0.797
Pa3 0.147 0.295 0.297
Pa4 0.100 0.201 0.676
Sc1 0.202 0.404 0.006
Sc2 0.798 0.596 0.506
Pd1 0.528 0.056 0.951
Pd2 0.472 0.944 0.451

Mass density ... 9.93 Mg/m³
Electronic total energy ... -9.113 eV per atom
ΔE_f (raw) ... -1.097 eV per atom


No. 6
Below is a relaxed PaPdSe2N crystal, with properties calculated at the PBE level.

Unit cell a=3.809 b=3.809 c=13.305 alpha=90.00 beta=90.00 gamma=90.00
Fractional positions:
Se1 0.500 0.000 0.915
Se2 0.000 0.500 0.085
Se3 0.500 0.000 0.295
Se4 0.000 0.500 0.705
N1 0.500 0.500 0.500
N2 0.000 0.000 0.500
Pa1 0.000 0.500 0.406
Pa2 0.500 0.000 0.594
Pd1 0.500 0.000 0.104
Pd2 0.000 0.500 0.896

Mass density ... 8.76 Mg/m³
Electronic total energy ... -7.133 eV per atom
ΔE_f (raw) ... -1.137 eV per atom